[1]
DFT (PBE) results for a relaxed structure of YGa6Fe6.

Structure (POSCAR):
```
YGa6Fe6
1.0
3.857 -4.432 -2.921
-3.748 -4.199 3.372
-0.983 4.051 -5.067
Fe Ga Y
6 6 1
direct
0.757 0.500 0.257
0.500 0.500 0.500
0.500 0.000 0.000
0.000 0.000 0.500
0.000 0.500 0.000
0.243 0.500 0.743
0.666 0.000 0.666
0.655 0.655 0.000
0.345 0.345 0.000
0.815 0.315 0.500
0.185 0.685 0.500
0.334 0.000 0.334
0.000 0.000 0.000
```

Values from the calculation:
As for the space group: Immm. The calculation puts the electronic total energy at -79.48 eV for the cell shown. As for the formation energy: -0.3139 eV/atom. As for the size of the total moment: 10.92 μB/f.u. The distance to the lowest polymorph of the same formula comes out at 0.00 eV per formula unit.

=====

[2]
DFT (PBE) results for a relaxed structure of Li2BeAl.

Structure (POSCAR):
```
Li2BeAl
1.0
-2.327 1.258 -4.349
2.037 -4.630 0.568
-2.168 -1.348 0.310
Al Li Be
1 2 1
direct
0.500 0.000 0.500
0.500 0.500 0.000
0.000 0.000 0.000
0.000 0.500 0.500
```

Values from the calculation:
As for the space group: C2/m. The calculation puts the electronic total energy at -10.90 eV for the cell shown. As for the formation energy: 0.0998 eV/atom. As for the size of the total moment: 0.00 μB/f.u. The distance to the lowest polymorph of the same formula comes out at 0.53 eV per formula unit.

=====

[3]
DFT (PBE) results for a relaxed structure of NbB3Pb.

Structure (POSCAR):
```
NbB3Pb
1.0
-2.281 3.557 -1.249
-2.683 -0.506 3.458
2.648 2.550 2.428
Pb Nb B
1 1 3
direct
0.500 0.500 0.500
0.000 0.000 0.000
0.000 0.000 0.500
0.500 0.000 0.000
0.000 0.500 0.000
```

Values from the calculation:
As for the space group: Pm-3m. The calculation puts the electronic total energy at -27.65 eV for the cell shown. As for the formation energy: 1.2321 eV/atom. As for the size of the total moment: 0.00 μB/f.u. The distance to the lowest polymorph of the same formula comes out at 0.00 eV per formula unit.